Entry 1:
PrEr2S: relaxed, PBE.

Cell: 3.6357 3.6357 10.3806 Å, 79.91 79.91 60.00°
Sites, in units of the cell vectors:
Pr1 0.0000 0.0000 0.0000
S1 0.5000 0.5000 0.5000
Er1 0.1132 0.1132 0.6605
Er2 0.8868 0.8868 0.3395

Computed properties:
- Raw total energy: -5.266 eV/atom
- E_form (uncorrected): -0.758 eV per atom
- Space group: R-3m, No. 166
- Excess energy over the best structure of this formula in the dataset: 179.1 meV/atom

***

Entry 2:
AcPr5Nd2: relaxed, PBE.

Cell: 10.4376 15.9341 11.3736 Å, 46.19 62.69 70.88°
Sites, in units of the cell vectors:
Pr1 0.8479 0.4138 0.1798
Pr2 0.4645 0.3812 0.5462
Pr3 0.9432 0.9694 0.9016
Pr4 0.4415 0.0862 0.3202
Pr5 0.2197 0.8812 0.7175
Pr6 0.1859 0.4694 0.4016
Pr7 0.7803 0.1188 0.2825
Pr8 0.8184 0.6188 0.7825
Pr9 0.0568 0.0306 0.0984
Pr10 0.1816 0.3812 0.2175
Pr11 0.3919 0.1188 0.9538
Pr12 0.8141 0.5306 0.5984
Pr13 0.6081 0.8812 0.0462
Pr14 0.5584 0.6415 0.1087
Pr15 0.4416 0.3585 0.8913
Pr16 0.5355 0.6188 0.4538
Pr17 0.5585 0.9138 0.6798
Pr18 0.6914 0.1415 0.6087
Pr19 0.3086 0.8585 0.3913
Pr20 0.1521 0.5862 0.8202
Nd1 0.0662 0.3540 0.8554
Nd2 0.9338 0.6460 0.1446
Nd3 0.2756 0.1460 0.6446
Nd4 0.8514 0.3462 0.5366
Nd5 0.1486 0.6538 0.4634
Nd6 0.7341 0.1538 0.9634
Nd7 0.7244 0.8540 0.3554
Nd8 0.2659 0.8462 0.0366
Ac1 0.5449 0.3586 0.1843
Ac2 0.0878 0.1414 0.3157
Ac3 0.9122 0.8586 0.6843
Ac4 0.4551 0.6414 0.8157

Computed properties:
- Raw total energy: -4.512 eV/atom
- Space group: C2/c, No. 15
- Excess energy over the best structure of this formula in the dataset: 162.8 meV/atom
- E_form: 0.180 eV per atom

***

Entry 3:
RbFe3Se: relaxed, PBE.

Cell: 4.7174 4.7174 4.7174 Å, 90.00 90.00 90.00°
Sites, in units of the cell vectors:
Rb1 0.0000 0.0000 0.0000
Fe1 0.0000 0.5000 0.0000
Fe2 0.5000 0.0000 0.0000
Fe3 0.0000 0.0000 0.5000
Se1 0.5000 0.5000 0.5000

Computed properties:
- Raw total energy: -3.511 eV/atom
- E_form (uncorrected): 2.457 eV per atom
- Space group: Pm-3m, No. 221
- Excess energy over the best structure of this formula in the dataset: 1595.1 meV/atom

***

Entry 4:
Cs3RbAu: relaxed, PBE.

Cell: 7.3544 7.3544 7.3544 Å, 90.00 90.00 90.00°
Sites, in units of the cell vectors:
Cs1 0.0000 0.5000 0.0000
Cs2 0.0000 0.0000 0.5000
Cs3 0.5000 0.0000 0.0000
Au1 0.0000 0.0000 0.0000
Rb1 0.5000 0.5000 0.5000

Computed properties:
- Raw total energy: -1.496 eV/atom
- Space group: Pm-3m, No. 221
- Excess energy over the best structure of this formula in the dataset: 12.6 meV/atom
- E_form: -0.134 eV per atom

***

Entry 5:
Li3HoMg9: relaxed, PBE.

Cell: 5.4988 7.7304 7.7768 Å, 83.00 69.30 69.84°
Sites, in units of the cell vectors:
Mg1 0.7053 0.7915 0.7859
Mg2 0.5089 0.2085 0.7859
Mg3 0.6498 0.3472 0.3544
Mg4 0.0042 0.3472 0.6456
Mg5 0.4911 0.7915 0.2141
Mg6 0.9958 0.6528 0.3544
Mg7 0.0000 0.5000 0.0000
Mg8 0.2947 0.2085 0.2141
Mg9 0.3502 0.6528 0.6456
Li1 0.5000 0.5000 0.0000
Li2 0.5000 0.0000 0.5000
Li3 0.0000 0.0000 0.5000
Ho1 0.0000 0.0000 0.0000

Computed properties:
- Raw total energy: -1.930 eV/atom
- Space group: C2/m, No. 12
- E_form: -0.033 eV per atom

***

Entry 6:
TiCo3H: relaxed, PBE.

Cell: 3.9574 3.9574 3.9574 Å, 103.97 103.97 103.97°
Sites, in units of the cell vectors:
Co1 0.7120 0.7120 0.1111
Co2 0.1111 0.7120 0.7120
Co3 0.7120 0.1111 0.7120
H1 0.9921 0.9921 0.9921
Ti1 0.3478 0.3478 0.3478

Computed properties:
- Raw total energy: -6.322 eV/atom
- Space group: R3m, No. 160
- Excess energy over the best structure of this formula in the dataset: 466.3 meV/atom

***

Entry 7:
Ce3Tc: relaxed, PBE.

Cell: 4.9963 4.9963 4.9963 Å, 60.00 60.00 60.00°
Sites, in units of the cell vectors:
Tc1 0.5000 0.5000 0.5000
Ce1 0.2500 0.2500 0.2500
Ce2 0.0000 0.0000 0.0000
Ce3 0.7500 0.7500 0.7500

Computed properties:
- Raw total energy: -6.910 eV/atom
- Space group: Fm-3m, No. 225
- E_form: 0.132 eV per atom

***

Entry 8:
Ba2LiIO4: relaxed, PBE.

Cell: 5.7518 5.7518 5.7518 Å, 105.16 111.67 111.67°
Sites, in units of the cell vectors:
O1 0.5512 0.2582 0.3929
O2 0.4488 0.8417 0.7070
O3 0.1346 0.2930 0.7418
O4 0.8654 0.6071 0.1583
Ba1 0.5000 0.7500 0.2500
Ba2 0.0000 0.0000 0.0000
Li1 0.5000 0.2500 0.7500
I1 0.0000 0.5000 0.5000

Computed properties:
- Raw total energy: -5.027 eV/atom
- E_form (uncorrected): -1.635 eV per atom
- Space group: I-4, No. 82